No. 1
A relaxed structure of SmYCuRh, computed with GGA-PBE.

Output
D(E_F)	6.0	states/eV per cell
energy of formation	-51	kJ/mol of atoms
uncorrected energy	-0.2275	hartree per atom

Cell: 4.421 3.840 10.468 Å, 90.00 90.00 90.00°
Space group Amm2 (No. 38)
Symmetry-distinct sites (fractional):
Sm 0.000 0.000 0.000 (multiplicity 2)
Y 0.500 0.000 0.722 (multiplicity 2)
Cu 0.500 0.000 0.433 (multiplicity 2)
Rh 0.000 0.000 0.279 (multiplicity 2)

---

No. 2
A relaxed structure of Sm2Zn3Cu12Rh, computed with GGA-PBE.

Output
D(E_F)	22.3	states/eV per cell
energy of formation	11	kJ/mol of atoms
uncorrected energy	-0.1384	hartree per atom

Cell: 6.0562 6.0562 27.8992 Å, 90.00 90.00 120.00°
Space group R-3m (No. 166, hexagonal axes)
Symmetry-distinct sites (fractional):
Sm 0.0000 0.0000 0.1477 (multiplicity 6)
Zn 0.0000 0.5000 0.0000 (multiplicity 9)
Cu 0.0427 0.5213 0.0960 (multiplicity 18)
Cu 0.0709 0.5355 0.6171 (multiplicity 18)
Rh 0.0000 0.0000 0.5000 (multiplicity 3)

---

No. 3
A relaxed structure of Sm2ZnCu2Rh5, computed with GGA-PBE.

Output
D(E_F)	21.4	states/eV per cell
energy of formation	-38	kJ/mol of atoms
uncorrected energy	-0.2191	hartree per atom

Cell: 9.322 9.322 3.849 Å, 90.00 90.00 90.00°
Space group P4/mbm (No. 127)
Symmetry-distinct sites (fractional):
Sm 0.177 0.323 0.000 (multiplicity 4)
Zn 0.000 0.000 0.000 (multiplicity 2)
Cu 0.121 0.621 0.000 (multiplicity 4)
Rh 0.000 0.500 0.500 (multiplicity 2)
Rh 0.065 0.797 0.500 (multiplicity 8)

---

No. 4
A relaxed structure of SmZnCuRh, computed with GGA-PBE.

Output
D(E_F)	10.9	states/eV per cell
energy of formation	-30	kJ/mol of atoms
uncorrected energy	-0.1715	hartree per atom

Cell: 6.595 6.595 6.595 Å, 90.00 90.00 90.00°
Space group F-43m (No. 216)
Symmetry-distinct sites (fractional):
Sm 0.000 0.000 0.000 (multiplicity 4)
Zn 0.000 0.000 0.500 (multiplicity 4)
Cu 0.250 0.250 0.750 (multiplicity 4)
Rh 0.250 0.250 0.250 (multiplicity 4)

---

No. 5
A relaxed structure of Sm2Zn12Cu3Rh, computed with GGA-PBE.

Output
D(E_F)	30.7	states/eV per cell
energy of formation	-7	kJ/mol of atoms
uncorrected energy	-0.0931	hartree per atom

Cell: 5.7348 5.7348 33.7368 Å, 90.00 90.00 120.00°
Space group R-3m (No. 166, hexagonal axes)
Symmetry-distinct sites (fractional):
Sm 0.0000 0.0000 0.1413 (multiplicity 6)
Zn 0.0003 0.5001 0.1092 (multiplicity 18)
Zn 0.0302 0.5151 0.6147 (multiplicity 18)
Cu 0.0000 0.5000 0.0000 (multiplicity 9)
Rh 0.0000 0.0000 0.5000 (multiplicity 3)

---

No. 6
A relaxed structure of Sm2ZnCuRh2, computed with GGA-PBE.

Output
D(E_F)	9.9	states/eV per cell
energy of formation	-53	kJ/mol of atoms
uncorrected energy	-0.2009	hartree per atom

Cell: 5.711 14.321 5.764 Å, 90.00 90.00 90.00°
Space group Ibam (No. 72)
Symmetry-distinct sites (fractional):
Sm 0.242 0.167 0.000 (multiplicity 8)
Zn 0.000 0.500 0.250 (multiplicity 4)
Cu 0.000 0.000 0.250 (multiplicity 4)
Rh 0.243 0.379 0.000 (multiplicity 8)